1.
# La2PmRu

A relaxed structure of La2PmRu (PBE, Alexandria).

a b c (Å): 3.5629 3.5629 9.5368
angles (deg): 90.00 90.00 90.00
Atoms (fractional coordinates):
Ru (0.5000, 0.5000, 0.0000)
La (0.0000, 0.0000, 0.8196)
La (0.0000, 0.0000, 0.1804)
Pm (0.5000, 0.5000, 0.5000)

Computed properties:
Space group ... No. 123
V ... 121.06 Å³/f.u.
Total magnetization ... 0.00 μB/cell
Offset from the most stable computed form ... 173 meV/atom
Energy relative to the elements ... -0.05 eV per atom



2.
# Tl2CuNi

A relaxed structure of Tl2CuNi (PBE, Alexandria).

a b c (Å): 5.5902 5.5902 5.5902
angles (deg): 138.86 138.86 59.59
Atoms (fractional coordinates):
Cu (0.5000, 0.5000, 0.0000)
Ni (0.7500, 0.2500, 0.5000)
Tl (0.0000, 0.0000, 0.0000)
Tl (0.2500, 0.7500, 0.5000)

Computed properties:
Space group ... No. 119
V ... 74.87 Å³/f.u.
Total magnetization ... 0.00 μB/cell
Energy relative to the elements ... 0.42 eV per atom



3.
# AlCd3Te

A relaxed structure of AlCd3Te (PBE, Alexandria).

a b c (Å): 5.7374 5.7374 5.7374
angles (deg): 90.00 90.00 90.00
Atoms (fractional coordinates):
Te (0.0000, 0.0000, 0.0000)
Al (0.5000, 0.5000, 0.5000)
Cd (0.0000, 0.5000, 0.0000)
Cd (0.0000, 0.0000, 0.5000)
Cd (0.5000, 0.0000, 0.0000)

Computed properties:
Space group ... No. 221
Uncorrected formation energy ... 0.65 eV/atom
V ... 188.86 Å³/f.u.
Total magnetization ... 0.00 μB/cell
Offset from the most stable computed form ... 364 meV/atom



4.
# SrZrHg2

A relaxed structure of SrZrHg2 (PBE, Alexandria).

a b c (Å): 8.4447 5.4382 3.4966
angles (deg): 90.01 65.52 130.03
Atoms (fractional coordinates):
Hg (0.0000, 0.0000, 0.0000)
Hg (0.5000, 0.0000, 0.5000)
Sr (0.0000, 0.5000, 0.5000)
Zr (0.5000, 0.5000, 0.0000)

Computed properties:
Space group ... No. 65
V ... 103.41 Å³/f.u.
Total magnetization ... 1.13 μB/cell
Energy relative to the elements ... -0.16 eV per atom



5.
# Al2CdIr

A relaxed structure of Al2CdIr (PBE, Alexandria).

a b c (Å): 8.8835 8.8835 8.8835
angles (deg): 19.37 19.37 19.37
Atoms (fractional coordinates):
Ir (0.7500, 0.7500, 0.7500)
Al (0.0100, 0.0100, 0.0100)
Al (0.4900, 0.4900, 0.4900)
Cd (0.2500, 0.2500, 0.2500)

Computed properties:
Space group ... No. 166
V ... 67.40 Å³/f.u.
Total magnetization ... 0.00 μB/cell
Energy relative to the elements ... -0.25 eV per atom



6.
# TiCu2MoSe

A relaxed structure of TiCu2MoSe (PBE, Alexandria).

a b c (Å): 4.3949 4.7265 4.3949
angles (deg): 90.00 90.00 90.00
Atoms (fractional coordinates):
Mo (0.0000, 0.5000, 0.0000)
Cu (0.0000, 0.0000, 0.5000)
Cu (0.5000, 0.0000, 0.0000)
Se (0.0000, 0.0000, 0.0000)
Ti (0.5000, 0.5000, 0.5000)

Computed properties:
Space group ... No. 123
Uncorrected formation energy ... 0.81 eV/atom
V ... 91.29 Å³/f.u.
Total magnetization ... 0.00 μB/cell



7.
# Ga2PdPt4

A relaxed structure of Ga2PdPt4 (PBE, Alexandria).

a b c (Å): 3.5506 3.5506 9.9498
angles (deg): 100.28 100.28 90.00
Atoms (fractional coordinates):
Ga (0.5844, 0.5844, 0.1689)
Ga (0.4156, 0.4156, 0.8311)
Pd (0.0000, 0.0000, 0.0000)
Pt (0.1377, 0.1377, 0.2755)
Pt (0.8623, 0.8623, 0.7245)
Pt (0.7500, 0.2500, 0.5000)
Pt (0.2500, 0.7500, 0.5000)

Computed properties:
Space group ... No. 139
V ... 121.38 Å³/f.u.
Total magnetization ... 0.00 μB/cell
Offset from the most stable computed form ... 315 meV/atom
Energy relative to the elements ... -0.07 eV per atom



8.
# LiLa6Tl5

A relaxed structure of LiLa6Tl5 (PBE, Alexandria).

a b c (Å): 5.6290 7.8954 8.9393
angles (deg): 90.00 71.65 90.00
Atoms (fractional coordinates):
Tl (0.6659, 0.5000, 0.6681)
Tl (0.3437, 0.0000, 0.3126)
Tl (0.0000, 0.5000, 0.0000)
Tl (0.6563, 0.0000, 0.6874)
Tl (0.3341, 0.5000, 0.3319)
La (0.8313, 0.7529, 0.3374)
La (0.8313, 0.2471, 0.3374)
La (0.5000, 0.2546, 0.0000)
La (0.5000, 0.7454, 0.0000)
La (0.1687, 0.7529, 0.6626)
La (0.1687, 0.2471, 0.6626)
Li (0.0000, 0.0000, 0.0000)

Computed properties:
Space group ... No. 65
V ... 377.08 Å³/f.u.
Total magnetization ... 0.01 μB/cell
Energy relative to the elements ... -0.36 eV per atom



9.
# Ho6Al2In

A relaxed structure of Ho6Al2In (PBE, Alexandria).

a b c (Å): 5.0704 7.1791 8.7852
angles (deg): 114.12 106.79 90.00
Atoms (fractional coordinates):
Ho (0.1693, 0.4235, 0.3391)
Ho (0.8307, 0.0845, 0.6609)
Ho (0.8307, 0.5765, 0.6609)
Ho (0.5000, 0.2577, 0.0000)
Ho (0.1693, 0.9155, 0.3391)
Ho (0.5000, 0.7423, 0.0000)
Al (0.6670, 0.6671, 0.3343)
Al (0.3330, 0.3329, 0.6657)
In (0.0000, 0.0000, 0.0000)

Computed properties:
Space group ... No. 71
V ... 276.87 Å³/f.u.
Total magnetization ... 0.00 μB/cell
Offset from the most stable computed form ... 257 meV/atom
Energy relative to the elements ... -0.04 eV per atom



10.
# TcGeAuI2

A relaxed structure of TcGeAuI2 (PBE, Alexandria).

a b c (Å): 5.2946 5.1697 5.2946
angles (deg): 90.00 90.00 90.00
Atoms (fractional coordinates):
I (0.0000, 0.0000, 0.5000)
I (0.5000, 0.0000, 0.0000)
Ge (0.5000, 0.5000, 0.5000)
Au (0.0000, 0.5000, 0.0000)
Tc (0.0000, 0.0000, 0.0000)

Computed properties:
Space group ... No. 123
Uncorrected formation energy ... 0.92 eV/atom
V ... 144.92 Å³/f.u.
Total magnetization ... 0.00 μB/cell



11.
# Cd3SbSe

A relaxed structure of Cd3SbSe (PBE, Alexandria).

a b c (Å): 5.4930 5.4930 5.4930
angles (deg): 90.00 90.00 90.00
Atoms (fractional coordinates):
Sb (0.0000, 0.0000, 0.0000)
Se (0.5000, 0.5000, 0.5000)
Cd (0.0000, 0.5000, 0.0000)
Cd (0.0000, 0.0000, 0.5000)
Cd (0.5000, 0.0000, 0.0000)

Computed properties:
Space group ... No. 221
Uncorrected formation energy ... 0.29 eV/atom
V ... 165.74 Å³/f.u.
Total magnetization ... 0.00 μB/cell
Offset from the most stable computed form ... 398 meV/atom



12.
# NiHg2SN

A relaxed structure of NiHg2SN (PBE, Alexandria).

a b c (Å): 5.4585 3.2534 5.4585
angles (deg): 90.00 90.00 90.00
Atoms (fractional coordinates):
Ni (0.5000, 0.5000, 0.5000)
S (0.0000, 0.0000, 0.0000)
Hg (0.0000, 0.0000, 0.5000)
Hg (0.5000, 0.0000, 0.0000)
N (0.0000, 0.5000, 0.0000)

Computed properties:
Space group ... No. 123
Uncorrected formation energy ... 1.07 eV/atom
V ... 96.94 Å³/f.u.
Total magnetization ... 0.31 μB/cell
Offset from the most stable computed form ... 538 meV/atom



Which value of V does entry 3 give?
188.86 Å³/f.u.